Ta2AsPb2: relaxed, PBEsol.

POSCAR file:
```
Ta2AsPb2
1.0
3.6930 0.0000 0.0000
0.0000 3.6930 0.0000
-1.8465 -1.8465 8.6390
Ta As Pb
2 1 2
Cartesian
1.8465 0.0000 4.3195 Ta
0.0000 1.8465 4.3195 Ta
0.0000 0.0000 0.0000 As
0.0000 0.0000 6.9052 Pb
1.8465 1.8465 1.7338 Pb
```

Properties
Energy relative to the elements (eV per atom): 0.762
Magnetic moment (μB/cell): 0.000
Space-group type: I4/mmm, No. 139
V (Å³ per atom): 23.6